[1]
## ZrTiTcW (PBE)

Data for crystalline ZrTiTcW at its relaxed geometry. Values from VASP.

## Properties
**DOS(E_F)**: 1.096 states/eV/atom
**Calculated total energy**: -40.12 eV for the cell shown
**Symmetry**: F-43m, No. 216

Cell and atoms, written as Quantum ESPRESSO input:
```
&SYSTEM
  ibrav = 0, nat = 4, ntyp = 4
/
ATOMIC_SPECIES
Zr 91.22 Zr.upf
Tc 98.00 Tc.upf
W 183.84 W.upf
Ti 47.87 Ti.upf
ATOMIC_POSITIONS crystal
Zr 0.000 0.000 0.000
Tc 0.750 0.750 0.750
W 0.500 0.500 0.500
Ti 0.250 0.250 0.250
CELL_PARAMETERS angstrom
-3.591 1.077 2.611
-4.214 -1.179 -1.312
-2.258 -3.277 2.243
```

---

[2]
## KLiN2F (PBE)

Data for crystalline KLiN2F at its relaxed geometry. Values from VASP.

## Properties
**DOS(E_F)**: 0.416 states/eV/atom
**Symmetry**: P4/mmm, No. 123
**Energy above the most stable polymorph in this dataset**: 0 meV per atom

Cell and atoms, written as Quantum ESPRESSO input:
```
&SYSTEM
  ibrav = 0, nat = 5, ntyp = 4
/
ATOMIC_SPECIES
K 39.10 K.upf
N 14.01 N.upf
Li 6.94 Li.upf
F 19.00 F.upf
ATOMIC_POSITIONS crystal
K 0.500 0.500 0.500
N 0.000 0.500 0.000
N 0.500 0.000 0.000
Li 0.000 0.000 0.000
F 0.000 0.000 0.500
CELL_PARAMETERS angstrom
-4.016 -1.591 0.222
0.021 -0.650 -4.276
1.505 -3.719 0.573
```